*one*
! TlP2Ir meta-GGA SCAN PBEsol geometry; values from VASP
&SYSTEM
  ibrav = 0, nat = 4, ntyp = 3
/
ATOMIC_SPECIES
Tl 204.38 Tl.upf
P 30.97 P.upf
Ir 192.22 Ir.upf
ATOMIC_POSITIONS angstrom
Tl 0.000 0.000 0.000
P 0.000 0.000 3.435
P 1.453 1.641 4.782
Ir 1.453 1.641 2.342
CELL_PARAMETERS angstrom
2.906 0.000 0.000
0.000 3.282 0.000
0.000 0.000 7.468
! Total moment, Bohr magnetons per cell: 0.00
! SG: No. 25
! Theoretical density, Mg/m³: 10.69

*two*
! TlP2Ir meta-GGA SCAN PBEsol geometry; values from VASP
&SYSTEM
  ibrav = 0, nat = 4, ntyp = 3
/
ATOMIC_SPECIES
Tl 204.38 Tl.upf
P 30.97 P.upf
Ir 192.22 Ir.upf
ATOMIC_POSITIONS angstrom
Tl 0.000 0.000 0.000
P 1.599 1.599 1.599
P 4.798 4.798 4.798
Ir 3.199 3.199 3.199
CELL_PARAMETERS angstrom
0.000 3.199 3.199
3.199 0.000 3.199
3.199 3.199 0.000
! Total moment, Bohr magnetons per cell: 0.00
! SG: No. 225
! Theoretical density, Mg/m³: 11.63

The structure with the least stability is *two*.

*one*
! YP2Ir meta-GGA SCAN PBEsol geometry; values from VASP
&SYSTEM
  ibrav = 0, nat = 4, ntyp = 3
/
ATOMIC_SPECIES
Y 88.91 Y.upf
P 30.97 P.upf
Ir 192.22 Ir.upf
ATOMIC_POSITIONS angstrom
Y 0.000 0.000 0.000
P 0.000 0.000 3.634
P 0.000 0.000 12.221
Ir 0.000 0.000 7.927
CELL_PARAMETERS angstrom
1.918 1.108 5.285
-1.918 1.108 5.285
0.000 -2.215 5.285
! Total moment, Bohr magnetons per cell: 0.00
! SG: No. 166
! Theoretical density, Mg/m³: 8.46

*two*
! YP2Ir meta-GGA SCAN PBEsol geometry; values from VASP
&SYSTEM
  ibrav = 0, nat = 4, ntyp = 3
/
ATOMIC_SPECIES
Y 88.91 Y.upf
P 30.97 P.upf
Ir 192.22 Ir.upf
ATOMIC_POSITIONS angstrom
Y 0.000 0.000 0.000
P 1.262 1.950 3.369
P 2.511 1.950 1.055
Ir 1.886 0.000 2.212
CELL_PARAMETERS angstrom
4.201 0.000 0.000
0.000 3.899 0.000
-0.428 0.000 4.424
! Total moment, Bohr magnetons per cell: 0.00
! SG: No. 10
! Theoretical density, Mg/m³: 7.86

The structure with the least stability is *two*.

*one*
! ZnPIr2 meta-GGA SCAN PBEsol geometry; values from VASP
&SYSTEM
  ibrav = 0, nat = 4, ntyp = 3
/
ATOMIC_SPECIES
Zn 65.41 Zn.upf
P 30.97 P.upf
Ir 192.22 Ir.upf
ATOMIC_POSITIONS angstrom
Zn 0.000 0.000 0.000
P 6.352 0.000 1.460
Ir 1.268 0.000 3.769
Ir 3.796 0.000 2.062
CELL_PARAMETERS angstrom
4.437 -1.445 0.000
4.437 1.445 0.000
-1.128 0.000 4.200
! Total moment, Bohr magnetons per cell: 0.00
! SG: No. 8
! Theoretical density, Mg/m³: 14.83

*two*
! ZnPIr2 meta-GGA SCAN PBEsol geometry; values from VASP
&SYSTEM
  ibrav = 0, nat = 4, ntyp = 3
/
ATOMIC_SPECIES
Zn 65.41 Zn.upf
P 30.97 P.upf
Ir 192.22 Ir.upf
ATOMIC_POSITIONS angstrom
Zn 0.000 0.000 0.000
P 1.446 0.000 2.788
Ir 1.446 1.781 1.366
Ir 1.446 1.781 4.209
CELL_PARAMETERS angstrom
2.892 0.000 0.000
0.000 3.562 0.000
0.000 0.000 5.575
! Total moment, Bohr magnetons per cell: 0.00
! SG: No. 47
! Theoretical density, Mg/m³: 13.90

*three*
! ZnPIr2 meta-GGA SCAN PBEsol geometry; values from VASP
&SYSTEM
  ibrav = 0, nat = 4, ntyp = 3
/
ATOMIC_SPECIES
Zn 65.41 Zn.upf
P 30.97 P.upf
Ir 192.22 Ir.upf
ATOMIC_POSITIONS angstrom
Zn 0.000 0.000 0.000
P 0.000 0.000 3.279
Ir 2.007 0.000 1.639
Ir 0.000 2.007 1.639
CELL_PARAMETERS angstrom
-2.007 2.007 3.279
2.007 -2.007 3.279
2.007 2.007 -3.279
! Total moment, Bohr magnetons per cell: 0.00
! SG: No. 139
! Theoretical density, Mg/m³: 15.11

The structure with the least stability is *three*.